1.
Crystalline CaBiSe2 at its relaxed geometry. Source: Alexandria, functional PBE-GGA.

## Properties
raw formation energy	-0.751	eV/atom
volume	32.871	Å³/atom
density	5.140	g cm⁻³
space group	R-3m

Cell: 9.157 9.157 9.157 Å, 26.16 26.16 26.16°
Element x y z (fractional)
Se 0.104 0.104 0.104
Se 0.896 0.896 0.896
Ca 0.500 0.500 0.500
Bi 0.000 0.000 0.000

=====

2.
Crystalline CeGe2Pt at its relaxed geometry. Source: Alexandria, functional PBE-GGA.

## Properties
ΔH_f (0 K)	-0.873	eV per atom
volume	20.272	Å³/atom
density	9.839	g cm⁻³
space group	Immm

Cell: 9.684 9.684 9.684 Å, 153.59 126.03 61.06°
Element x y z (fractional)
Ce 0.746 0.000 0.746
Ce 0.703 0.203 0.500
Ce 0.254 0.000 0.254
Ce 0.297 0.797 0.500
Ge 0.952 0.802 0.150
Ge 0.426 0.426 0.000
Ge 0.348 0.198 0.150
Ge 0.048 0.198 0.850
Ge 0.652 0.802 0.850
Ge 0.574 0.574 0.000
Ge 0.074 0.574 0.500
Ge 0.926 0.426 0.500
Pt 0.900 0.649 0.251
Pt 0.100 0.351 0.749
Pt 0.601 0.351 0.251
Pt 0.399 0.649 0.749

=====

3.
Crystalline BeNi2Os at its relaxed geometry. Source: Alexandria, functional PBE-GGA.

## Properties
ΔH_f (0 K)	-0.031	eV per atom
volume	11.238	Å³/atom
density	11.696	g cm⁻³
space group	Cm

Cell: 4.644 4.644 4.381 Å, 65.20 65.20 31.93°
Element x y z (fractional)
Ni 0.747 0.747 0.811
Ni 0.983 0.983 0.949
Os 0.510 0.510 0.423
Be 0.260 0.260 0.317

=====

4.
Crystalline Sr3LiAl2O6 at its relaxed geometry. Source: Alexandria, functional PBE-GGA.

## Properties
raw formation energy	-2.392	eV/atom
volume	15.829	Å³/atom
density	3.670	g cm⁻³
space group	P-3m1

Cell: 5.771 5.771 6.586 Å, 90.00 90.00 120.00°
Element x y z (fractional)
O 0.339 0.169 0.712
O 0.661 0.831 0.288
O 0.831 0.661 0.712
O 0.169 0.831 0.288
O 0.831 0.169 0.712
O 0.169 0.339 0.288
Li 0.000 0.000 0.500
Al 0.667 0.333 0.791
Al 0.333 0.667 0.209
Sr 0.000 0.000 0.000
Sr 0.333 0.667 0.650
Sr 0.667 0.333 0.350

=====

5.
Crystalline Dy4In3Pt at its relaxed geometry. Source: Alexandria, functional PBE-GGA.

## Properties
ΔH_f (0 K)	-0.663	eV per atom
volume	25.247	Å³/atom
density	9.780	g cm⁻³
space group	P4/mmm

Cell: 3.583 3.583 15.733 Å, 90.00 90.00 90.00°
Element x y z (fractional)
In 0.500 0.500 0.500
In 0.500 0.500 0.760
In 0.500 0.500 0.240
Pt 0.500 0.500 0.000
Dy 0.000 0.000 0.369
Dy 0.000 0.000 0.895
Dy 0.000 0.000 0.631
Dy 0.000 0.000 0.105

=====

6.
Crystalline TeBr at its relaxed geometry. Source: Alexandria, functional PBE-GGA.

## Properties
raw formation energy	-0.060	eV/atom
volume	36.663	Å³/atom
density	4.699	g cm⁻³
space group	I4/m

Cell: 13.089 13.089 3.424 Å, 90.00 90.00 90.00°
Element x y z (fractional)
Te 0.400 0.370 0.000
Te 0.900 0.870 0.500
Te 0.130 0.900 0.500
Te 0.100 0.130 0.500
Te 0.370 0.600 0.000
Te 0.630 0.400 0.000
Te 0.600 0.630 0.000
Te 0.870 0.100 0.500
Br 0.396 0.801 0.000
Br 0.604 0.199 0.000
Br 0.896 0.301 0.500
Br 0.301 0.104 0.500
Br 0.199 0.396 0.000
Br 0.104 0.699 0.500
Br 0.699 0.896 0.500
Br 0.801 0.604 0.000